Entry from Alexandria via LeMat-Bulk: a relaxed structure of NaCa2Ag2 (PBE).

a = 8.8524 Å, b = 8.8524 Å, c = 3.5890 Å
α = 90.00°, β = 90.00°, γ = 90.00°
Last column: nearest neighbours and their distance in Å.
Space group P4/mbm (No. 127)
Asymmetric unit:
Na 0.0000 0.0000 0.0000 [2 per cell]  4 Ca 3.38, 2 Na 3.59
Ca 0.1474 0.3526 0.0000 [4 per cell]  6 Ag 3.14-3.17, 2 Na 3.38
Ag 0.1438 0.6438 0.5000 [4 per cell]  6 Ca 3.14-3.17

Excess energy over the best structure of this formula in the dataset (eV/atom): 0.1054
Energy of formation (eV/atom): -0.13

Entry from Alexandria via LeMat-Bulk: a relaxed structure of NaCa2Ag2 (PBE).

a = 3.9177 Å, b = 3.9177 Å, c = 20.4593 Å
α = 90.00°, β = 90.00°, γ = 90.00°
Last column: nearest neighbours and their distance in Å.
Space group I4/mmm (No. 139)
Asymmetric unit:
Na 0.0000 0.0000 0.0000 [2 per cell]  8 Ca 3.83, 4 Na 3.92
Ca 0.0000 0.0000 0.3710 [4 per cell]  4 Ag 3.16
Ag 0.0000 0.5000 0.2500 [4 per cell]  4 Ag 2.77

Excess energy over the best structure of this formula in the dataset (eV/atom): 0.2149
Energy of formation (eV/atom): -0.02

Entry from Alexandria via LeMat-Bulk: a relaxed structure of NaCaAg4 (PBE).

a = 8.0825 Å, b = 8.0825 Å, c = 8.0825 Å
α = 90.00°, β = 90.00°, γ = 90.00°
Last column: nearest neighbours and their distance in Å.
Space group F-43m (No. 216)
Asymmetric unit:
Na 0.0000 0.0000 0.0000 [4 per cell]  12 Ag 3.35, 4 Ca 3.50
Ca 0.2500 0.2500 0.2500 [4 per cell]  12 Ag 3.35, 4 Na 3.50
Ag 0.1251 0.1251 0.6251 [16 per cell]  6 Ag 2.85-2.86

Energy of formation (eV/atom): -0.17

Entry from Alexandria via LeMat-Bulk: a relaxed structure of NaCaAg (PBE).

a = 3.9115 Å, b = 4.6626 Å, c = 10.4434 Å
α = 90.00°, β = 90.13°, γ = 90.00°
Last column: nearest neighbours and their distance in Å.
Space group P2_1/m (No. 11)
Asymmetric unit:
Na 0.0021 0.2500 0.3841 [2 per cell]  1 Ag 3.14, 2 Na 3.36
Ca 0.4993 0.2500 0.8408 [2 per cell]  6 Ag 3.14-3.20
Ag 0.0003 0.2500 0.0833 [2 per cell]  2 Ag 2.91, 1 Na 3.14, 6 Ca 3.14-3.20

Excess energy over the best structure of this formula in the dataset (eV/atom): 0.0000
Energy of formation (eV/atom): -0.15

Entry from Alexandria via LeMat-Bulk: a relaxed structure of Na2Ca2Ag (PBE).

a = 7.6784 Å, b = 7.6784 Å, c = 5.5353 Å
α = 90.00°, β = 90.00°, γ = 90.00°
Last column: nearest neighbours and their distance in Å.
Space group P4/mbm (No. 127)
Asymmetric unit:
Na 0.1389 0.3611 0.0000 [4 per cell]  2 Ag 2.97, 1 Na 3.02
Ca 0.1832 0.6832 0.5000 [4 per cell]  6 Na 3.38-3.73
Ag 0.0000 0.0000 0.0000 [2 per cell]  4 Na 2.97

Excess energy over the best structure of this formula in the dataset (eV/atom): 0.0351
Energy of formation (eV/atom): 0.10

Entry from Alexandria via LeMat-Bulk: a relaxed structure of NaCaAg (PBE).

a = 4.7913 Å, b = 4.7913 Å, c = 9.6948 Å
α = 90.00°, β = 90.00°, γ = 120.00°
Last column: nearest neighbours and their distance in Å.
Space group P-3m1 (No. 164)
Asymmetric unit:
Na 0.3333 0.6667 0.4151 [2 per cell]  3 Na 3.22
Ca 0.0000 0.0000 0.1757 [2 per cell]  6 Ag 3.21-3.29, 1 Ca 3.41
Ag 0.3333 0.6667 0.0075 [2 per cell]  3 Ag 2.77

Excess energy over the best structure of this formula in the dataset (eV/atom): 0.0900
Energy of formation (eV/atom): -0.06

Entry from Alexandria via LeMat-Bulk: a relaxed structure of NaCaNdAg (PBE).

a = 7.7257 Å, b = 7.7257 Å, c = 7.7257 Å
α = 90.00°, β = 90.00°, γ = 90.00°
Last column: nearest neighbours and their distance in Å.
Space group F-43m (No. 216)
Asymmetric unit:
Na 0.0000 0.0000 0.0000 [4 per cell]  4 Nd 3.35, 4 Ca 3.35
Ca 0.2500 0.2500 0.2500 [4 per cell]  4 Na 3.35, 4 Ag 3.35
Nd 0.2500 0.2500 0.7500 [4 per cell]  4 Na 3.35, 4 Ag 3.35
Ag 0.0000 0.0000 0.5000 [4 per cell]  4 Nd 3.35, 4 Ca 3.35

Energy of formation (eV/atom): 0.01

Entry from Alexandria via LeMat-Bulk: a relaxed structure of Na2CaAgO4 (PBE).

a = 9.3333 Å, b = 9.2743 Å, c = 6.7857 Å
α = 90.00°, β = 133.35°, γ = 90.00°
Last column: nearest neighbours and their distance in Å.
Space group C2/c (No. 15)
Asymmetric unit:
Na 0.0000 0.0000 0.0000 [4 per cell]  6 O 2.34-2.58
Na 0.2500 0.2500 0.0000 [4 per cell]  6 O 2.38-2.59
Ca 0.0000 0.5000 0.0000 [4 per cell]  6 O 2.32-2.38
Ag 0.2500 0.2500 0.5000 [4 per cell]  4 O 2.08
O 0.0377 0.2502 0.5210 [8 per cell]  1 Ag 2.08
O 0.2371 0.4744 0.4794 [8 per cell]  1 Ag 2.08, 1 Ca 2.32

Energy relative to the elements, uncorrected (eV per atom): -1.263

Entry from Alexandria via LeMat-Bulk: a relaxed structure of NaCaAg2O (PBE).

a = 5.4730 Å, b = 5.4730 Å, c = 10.1191 Å
α = 90.00°, β = 90.00°, γ = 90.00°
Last column: nearest neighbours and their distance in Å.
Space group P4/mmm (No. 123)
Asymmetric unit:
Na 0.0000 0.0000 0.0000 [1 per cell]  4 O 3.87
Ca 0.0000 0.0000 0.5000 [1 per cell]  4 Ag 2.74
Ag 0.0000 0.5000 0.5000 [2 per cell]  2 Ca 2.74
O 0.5000 0.5000 0.0000 [1 per cell]  4 Na 3.87

Energy relative to the elements, uncorrected (eV per atom): 0.990

Entry from Alexandria via LeMat-Bulk: a relaxed structure of NaCaAgO2 (PBE).

a = 5.8723 Å, b = 5.9818 Å, c = 6.5600 Å
α = 90.00°, β = 102.09°, γ = 90.00°
Last column: nearest neighbours and their distance in Å.
Space group P2/c (No. 13)
Asymmetric unit:
Na 0.0000 0.1790 0.2500 [2 per cell]  2 O 2.21
Ca 0.5000 0.4850 0.7500 [2 per cell]  4 O 2.27
Ag 0.5000 0.0000 0.0000 [2 per cell]  2 O 2.07
O 0.3218 0.3013 0.4571 [4 per cell]  1 Ag 2.07, 1 Na 2.21, 2 Ca 2.27

Energy relative to the elements, uncorrected (eV per atom): -1.483

Entry from Alexandria via LeMat-Bulk: a relaxed structure of NaCa2AgO (PBE).

a = 4.7578 Å, b = 4.7578 Å, c = 4.8309 Å
α = 90.00°, β = 90.00°, γ = 90.00°
Last column: nearest neighbours and their distance in Å.
Space group P4/mmm (No. 123)
Asymmetric unit:
Na 0.0000 0.0000 0.0000 [1 per cell]  2 O 2.42
Ca 0.0000 0.5000 0.5000 [2 per cell]  2 O 2.38
Ag 0.5000 0.5000 0.0000 [1 per cell]  4 Na 3.36, 8 Ca 3.39
O 0.0000 0.0000 0.5000 [1 per cell]  4 Ca 2.38, 2 Na 2.42

Energy relative to the elements, uncorrected (eV per atom): -1.130

Entry from Alexandria via LeMat-Bulk: a relaxed structure of Na2CaAg2Pb2 (PBE).

a = 5.0858 Å, b = 5.0858 Å, c = 23.5991 Å
α = 90.00°, β = 90.00°, γ = 120.00°
Last column: nearest neighbours and their distance in Å.
Space group R-3m (No. 166, hexagonal axes)
Asymmetric unit:
Na 0.0000 0.0000 0.1437 [6 per cell]  1 Ag 3.04, 3 Na 3.13, 3 Pb 3.32, 1 Ca 3.39
Ca 0.0000 0.0000 0.0000 [3 per cell]  6 Ag 3.27, 2 Na 3.39, 6 Pb 3.47
Ag 0.0000 0.0000 0.2726 [6 per cell]  4 Pb 2.97-3.28, 1 Na 3.04, 3 Ca 3.27
Pb 0.0000 0.0000 0.4115 [6 per cell]  4 Ag 2.97-3.28, 3 Na 3.32

Energy of formation (eV/atom): -0.23

Magnetic moment
In order: 0.0, 0.0, 0.0, 0.0, 0.0, 0.0, 0.0, 4.1, 0.0, 0.0, 0.0, 0.0
Unit: Bohr magnetons per cell